Record 1
Compound: ZnHgAuC2
Source: the Alexandria database
Functional: PBE-GGA
Structure: optimized geometry

Its space group is P4/mmm (123). As for the formation energy: 2.46 eV per atom.

Lattice parameters (Å, degrees): 4.106 5.898 4.106 90.00 90.00 90.00
Each line ends with the local moment (μB).
Fractional coordinates of all 5 atoms:
Au 0.000 0.500 0.000  0.04
Zn 0.500 0.500 0.500  -0.03
C 0.000 0.000 0.500  0.30
C 0.500 0.000 0.000  0.27
Hg 0.000 0.000 0.000  0.03

Record 2
Compound: Ho4Au2C
Source: the Alexandria database
Functional: PBE-GGA
Structure: optimized geometry

Its space group is I4/mmm (139). As for the formation energy: -0.53 eV per atom.

Lattice parameters (Å, degrees): 4.801 4.801 8.009 72.56 72.56 90.00
Fractional coordinates of all 7 atoms:
C 0.000 0.000 0.000
Ho 0.171 0.171 0.658
Ho 0.829 0.829 0.342
Ho 0.000 0.500 0.000
Ho 0.500 0.000 0.000
Au 0.369 0.369 0.262
Au 0.631 0.631 0.738

Record 3
Compound: Ho3AuC
Source: the Alexandria database
Functional: PBE-GGA
Structure: optimized geometry

Its space group is Pnma (62). For the offset from the most stable computed form, the calculation gives 0 kJ/mol of formula units. As for the formation energy: -0.53 eV per atom.

Lattice parameters (Å, degrees): 3.620 8.633 14.238 90.00 90.00 90.00
Fractional coordinates of all 20 atoms:
Ho 0.750 0.323 0.027
Ho 0.750 0.494 0.601
Ho 0.750 0.994 0.899
Ho 0.750 0.823 0.473
Ho 0.250 0.677 0.973
Ho 0.250 0.006 0.101
Ho 0.250 0.807 0.692
Ho 0.750 0.193 0.308
Ho 0.250 0.307 0.808
Ho 0.750 0.693 0.192
Ho 0.250 0.506 0.399
Ho 0.250 0.177 0.527
Au 0.750 0.095 0.687
Au 0.750 0.595 0.813
Au 0.250 0.905 0.313
Au 0.250 0.405 0.187
C 0.750 0.838 0.047
C 0.750 0.338 0.453
C 0.250 0.662 0.547
C 0.250 0.162 0.953

Record 4
Compound: Ho3AuC
Source: the Alexandria database
Functional: PBE-GGA
Structure: optimized geometry

Its space group is Pm-3m (221). For the offset from the most stable computed form, the calculation gives 49 kJ/mol of formula units. As for the formation energy: -0.43 eV per atom.

Lattice parameters (Å, degrees): 4.824 4.824 4.824 90.00 90.00 90.00
Each line ends with the local moment (μB).
Fractional coordinates of all 5 atoms:
Au 0.500 0.500 0.500  0.05
C 0.000 0.000 0.000  -0.01
Ho 0.500 0.000 0.000  0.15
Ho 0.000 0.500 0.000  0.15
Ho 0.000 0.000 0.500  0.15

Record 5
Compound: Ho2IrAuC
Source: the Alexandria database
Functional: PBE-GGA
Structure: optimized geometry

Its space group is P4/mmm (123). As for the formation energy: -0.70 eV per atom.

Lattice parameters (Å, degrees): 3.869 4.983 4.983 90.00 90.00 90.00
Fractional coordinates of all 5 atoms:
Ho 0.000 0.000 0.500
Ho 0.000 0.500 0.000
Ir 0.500 0.000 0.000
C 0.000 0.000 0.000
Au 0.500 0.500 0.500

Record 6
Compound: AuCI
Source: the Alexandria database
Functional: PBE-GGA
Structure: optimized geometry

Its space group is P1 (1). The raw formation energy is 1.255 eV per atom. For the offset from the most stable computed form, the calculation gives 211 kJ/mol of formula units.

Lattice parameters (Å, degrees): 3.947 3.882 6.742 115.23 89.98 120.44
Fractional coordinates of all 3 atoms:
I 0.798 0.937 0.084
Au 0.520 0.383 0.532
C 0.977 0.296 0.445

Record 7
Compound: AuCI3
Source: the Alexandria database
Functional: PBE-GGA
Structure: optimized geometry

Its space group is Pm-3m (221). The raw formation energy is 1.313 eV per atom. For the offset from the most stable computed form, the calculation gives 0 kJ/mol of formula units.

Lattice parameters (Å, degrees): 5.064 5.064 5.064 90.00 90.00 90.00
Fractional coordinates of all 5 atoms:
I 0.500 0.000 0.000
I 0.000 0.000 0.500
I 0.000 0.500 0.000
C 0.000 0.000 0.000
Au 0.500 0.500 0.500

Record 8
Compound: AuCI
Source: the Alexandria database
Functional: PBE-GGA
Structure: optimized geometry

Its space group is P-1 (2). The raw formation energy is 0.527 eV per atom. For the offset from the most stable computed form, the calculation gives 0 kJ/mol of formula units.

Lattice parameters (Å, degrees): 3.932 7.317 7.325 78.41 78.13 83.97
Fractional coordinates of all 6 atoms:
C 0.833 0.500 0.000
C 0.167 0.500 0.000
I 0.817 0.808 0.320
I 0.183 0.192 0.680
Au 0.416 0.641 0.147
Au 0.584 0.359 0.853

Record 9
Compound: AuCI
Source: the Alexandria database
Functional: PBE-GGA
Structure: optimized geometry

Its space group is Cm (8). The raw formation energy is 1.231 eV per atom. For the offset from the most stable computed form, the calculation gives 204 kJ/mol of formula units.

Lattice parameters (Å, degrees): 5.821 3.775 6.258 90.00 99.02 90.00
Fractional coordinates of all 6 atoms:
C 0.449 0.000 0.107
C 0.449 0.500 0.607
I 0.080 0.500 0.550
I 0.080 0.000 0.050
Au 0.533 0.500 0.959
Au 0.533 0.000 0.459

Record 10
Compound: AuCI2
Source: the Alexandria database
Functional: PBE-GGA
Structure: optimized geometry

Its space group is Fm-3m (225). The raw formation energy is 1.901 eV per atom. For the offset from the most stable computed form, the calculation gives 199 kJ/mol of formula units.

Lattice parameters (Å, degrees): 5.108 5.108 5.108 60.00 60.00 60.00
Each line ends with the local moment (μB).
Fractional coordinates of all 4 atoms:
I 0.250 0.250 0.250  -0.12
I 0.750 0.750 0.750  -0.12
Au 0.500 0.500 0.500  0.00
C 0.000 0.000 0.000  0.62

Record 11
Compound: AuCI
Source: the Alexandria database
Functional: PBE-GGA
Structure: optimized geometry

Its space group is P1 (1). The raw formation energy is 1.228 eV per atom. For the offset from the most stable computed form, the calculation gives 203 kJ/mol of formula units.

Lattice parameters (Å, degrees): 3.719 3.652 6.214 89.88 106.66 119.73
Fractional coordinates of all 3 atoms:
Au 0.076 0.888 0.324
I 0.451 0.072 0.879
C 0.684 0.189 0.242

Record 12
Compound: AuCI
Source: the Alexandria database
Functional: PBE-GGA
Structure: optimized geometry

Its space group is P-1 (2). The raw formation energy is 0.696 eV per atom. For the offset from the most stable computed form, the calculation gives 49 kJ/mol of formula units.

Lattice parameters (Å, degrees): 5.322 6.317 6.405 93.93 110.60 112.36
Fractional coordinates of all 6 atoms:
I 0.508 0.103 0.253
I 0.492 0.897 0.747
Au 0.501 0.682 0.381
Au 0.499 0.318 0.619
C 0.501 0.530 0.096
C 0.499 0.470 0.904

Record 13
Compound: AuC2I
Source: the Alexandria database
Functional: PBE-GGA
Structure: optimized geometry

Its space group is I-42d (122). The raw formation energy is 2.199 eV per atom. For the offset from the most stable computed form, the calculation gives 0 kJ/mol of formula units.

Lattice parameters (Å, degrees): 5.345 5.345 6.428 65.43 65.43 90.00
Fractional coordinates of all 8 atoms:
C 0.375 0.316 0.750
C 0.875 0.934 0.750
C 0.066 0.625 0.250
C 0.684 0.125 0.250
I 0.250 0.750 0.500
I 0.500 0.500 0.000
Au 0.750 0.250 0.500
Au 0.000 0.000 0.000